Run a
A crystal of YAs2SeBr relaxed with PBEsol. Source: Alexandria via LeMat-Bulk, functional SCAN.

Results
SG ... No. 123

The structure in extended XYZ format:
```
5
Lattice="4.973 0.000 0.000 0.000 4.973 0.000 0.000 0.000 5.009" Properties=species:S:1:pos:R:3 pbc="T T T"
Y 0.000 0.000 0.000
As 0.000 2.486 2.505
As 2.486 0.000 2.505
Se 2.486 2.486 2.505
Br 2.486 2.486 0.000
```

=====

Run b
A crystal of YAs2SeBr relaxed with PBEsol. Source: Alexandria via LeMat-Bulk, functional SCAN.

Results
SG ... No. 123

The structure in extended XYZ format:
```
5
Lattice="4.999 0.000 0.000 0.000 4.999 0.000 0.000 0.000 4.966" Properties=species:S:1:pos:R:3 pbc="T T T"
Y 0.000 0.000 0.000
As 0.000 2.500 2.483
As 2.500 0.000 2.483
Se 2.500 2.500 0.000
Br 2.500 2.500 2.483
```

=====

Relative energies, meV/atom: run a 0; run b 304.

=====

Run a
A crystal of SrAsBr2 relaxed with PBEsol. Source: Alexandria via LeMat-Bulk, functional SCAN.

Results
SG ... No. 99

The structure in extended XYZ format:
```
4
Lattice="4.324 0.000 0.000 0.000 4.324 0.000 0.000 0.000 6.174" Properties=species:S:1:pos:R:3 pbc="T T T"
Sr 0.000 0.000 0.000
As 2.162 2.162 1.032
Br 0.000 0.000 2.988
Br 2.162 2.162 4.745
```

=====

Run b
A crystal of SrAsBr2 relaxed with PBEsol. Source: Alexandria via LeMat-Bulk, functional SCAN.

Results
SG ... No. 166

The structure in extended XYZ format:
```
12
Lattice="4.609 0.000 0.000 -2.304 3.991 0.000 0.000 0.000 24.632" Properties=species:S:1:pos:R:3 pbc="T T T"
Sr 0.000 0.000 0.000
Sr 0.000 2.661 16.421
Sr 2.304 1.330 8.211
As 0.000 0.000 12.316
As 0.000 2.661 4.105
As 2.304 1.330 20.527
Br 0.000 0.000 6.720
Br 0.000 0.000 17.912
Br 0.000 2.661 9.701
Br 0.000 2.661 23.142
Br 2.304 1.330 1.491
Br 2.304 1.330 14.931
```

=====

Relative energies, meV/atom: run a 67; run b 0.

=====

Run a
A crystal of TaAsBr2 relaxed with PBEsol. Source: Alexandria via LeMat-Bulk, functional SCAN.

Results
SG ... No. 122

The structure in extended XYZ format:
```
16
Lattice="9.209 0.000 0.000 0.000 9.209 0.000 0.000 0.000 4.951" Properties=species:S:1:pos:R:3 pbc="T T T"
Ta 0.000 0.000 0.000
Ta 0.000 4.605 1.238
Ta 4.605 0.000 3.713
Ta 4.605 4.605 2.475
As 0.000 0.000 2.475
As 0.000 4.605 3.713
As 4.605 0.000 1.238
As 4.605 4.605 0.000
Br 1.071 6.907 0.619
Br 2.302 1.071 4.332
Br 2.302 3.533 1.857
Br 3.533 6.907 3.094
Br 5.676 2.302 3.094
Br 6.907 5.676 1.857
Br 6.907 8.138 4.332
Br 8.138 2.302 0.619
```

=====

Run b
A crystal of TaAsBr2 relaxed with PBEsol. Source: Alexandria via LeMat-Bulk, functional SCAN.

Results
SG ... No. 65

The structure in extended XYZ format:
```
8
Lattice="5.061 0.000 0.000 0.000 13.557 0.000 0.000 0.000 3.244" Properties=species:S:1:pos:R:3 pbc="T T T"
Ta 0.000 0.000 0.000
Ta 2.531 6.779 0.000
As 0.000 6.779 0.000
As 2.531 0.000 0.000
Br 0.000 2.036 1.622
Br 0.000 11.522 1.622
Br 2.531 4.743 1.622
Br 2.531 8.814 1.622
```

=====

Relative energies, meV/atom: run a 251; run b 0.